{
  "formula": "KLiAl2Ga4",
  "functional": "GGA-PBE",
  "state": "relaxed",
  "e_tot_ev_per_atom": -2.906,
  "crystal_system": "trigonal",
  "delta_e_f_ev_per_atom": -0.0808,
  "lattice_angstrom": [[-2.706, -3.233, 1.372], [1.546, -3.218, 2.629], [-2.883, 3.497, 9.714]],
  "species": ["Ga", "K", "Ga", "Li", "Al", "Al", "Ga", "Ga"],
  "frac_coords": [[0.591, 0.591, 0.227], [0.000, 0.000, 0.000], [0.409, 0.409, 0.773], [0.500, 0.500, 0.500], [0.773, 0.773, 0.681], [0.227, 0.227, 0.319], [0.133, 0.133, 0.600], [0.867, 0.867, 0.400]]
}